# PBE+U WSCl2F, optimized geometry
data_WSCl2F
_space_group_name_H-M_alt 'P 4/m m m'
_space_group_IT_number 123
_space_group_name_Hall '-P 4 2'
_cell_length_a 4.9200
_cell_length_b 4.9200
_cell_length_c 4.7182
_cell_angle_alpha 90.00
_cell_angle_beta 90.00
_cell_angle_gamma 90.00
loop_
_atom_site_label
_atom_site_type_symbol
_atom_site_fract_x
_atom_site_fract_y
_atom_site_fract_z
W1 W 0.0000 0.0000 0.0000
S1 S 0.0000 0.0000 0.5000
Cl1 Cl 0.0000 0.5000 0.0000
F1 F 0.5000 0.5000 0.5000
# DOS(E_F)   5.3 states/eV/f.u.
# M_tot   1.00 μB per formula unit
# Relative energy among the computed polymorphs   0.000 eV/f.u.
# Crystal system   tetragonal